a.
DFT (GGA-PBE) results for a relaxed structure of PmTmGaCu.

Structure (CIF):
```
data_PmTmGaCu
_symmetry_space_group_name_H-M 'P 1'
_symmetry_Int_Tables_number 1
_cell_length_a 3.7054
_cell_length_b 4.4284
_cell_length_c 5.9153
_cell_angle_alpha 90.00
_cell_angle_beta 108.25
_cell_angle_gamma 90.00
loop_
_symmetry_equiv_pos_as_xyz
'x,y,z'
loop_
_atom_site_label
_atom_site_fract_x
_atom_site_fract_y
_atom_site_fract_z
Cu1 0.4275 0.0000 0.8551
Pm1 0.1506 0.0000 0.3011
Tm1 0.8564 0.5000 0.7128
Ga1 0.5655 0.5000 0.1310
```

Computed properties:
symmetry = No. 38
crystal system = orthorhombic
D(E_F) = 3.6 states/eV/cell



b.
DFT (GGA-PBE) results for a relaxed structure of PmTmGaCu.

Structure (CIF):
```
data_PmTmGaCu
_symmetry_space_group_name_H-M 'P 1'
_symmetry_Int_Tables_number 1
_cell_length_a 5.0376
_cell_length_b 5.0376
_cell_length_c 5.0376
_cell_angle_alpha 60.00
_cell_angle_beta 60.00
_cell_angle_gamma 60.00
loop_
_symmetry_equiv_pos_as_xyz
'x,y,z'
loop_
_atom_site_label
_atom_site_fract_x
_atom_site_fract_y
_atom_site_fract_z
Cu1 0.2500 0.2500 0.2500
Pm1 0.0000 0.0000 0.0000
Ga1 0.7500 0.7500 0.7500
Tm1 0.5000 0.5000 0.5000
```

Computed properties:
symmetry = No. 216
crystal system = cubic
D(E_F) = 3.4 states/eV/cell



Stability summary - winner: b; margin: 7 meV per atom.



a.
DFT (GGA-PBE) results for a relaxed structure of Pr8Ga2Cu.

Structure (CIF):
```
data_Pr8Ga2Cu
_symmetry_space_group_name_H-M 'P 1'
_symmetry_Int_Tables_number 1
_cell_length_a 5.1165
_cell_length_b 6.9373
_cell_length_c 9.8923
_cell_angle_alpha 103.41
_cell_angle_beta 104.99
_cell_angle_gamma 90.00
loop_
_symmetry_equiv_pos_as_xyz
'x,y,z'
loop_
_atom_site_label
_atom_site_fract_x
_atom_site_fract_y
_atom_site_fract_z
Pr1 0.6562 0.9789 0.3124
Pr2 0.7911 0.6884 0.5823
Pr3 0.3438 0.0211 0.6876
Pr4 0.2089 0.3116 0.4177
Pr5 0.4067 0.5325 0.8135
Pr6 0.0188 0.7791 0.0376
Pr7 0.9812 0.2209 0.9624
Pr8 0.5933 0.4675 0.1865
Ga1 0.1838 0.7457 0.3675
Ga2 0.8162 0.2543 0.6325
Cu1 0.5000 0.0000 0.0000
```

Computed properties:
symmetry = No. 12
crystal system = monoclinic
D(E_F) = 10.5 states/eV/cell



b.
DFT (GGA-PBE) results for a relaxed structure of Pr8Ga2Cu.

Structure (CIF):
```
data_Pr8Ga2Cu
_symmetry_space_group_name_H-M 'P 1'
_symmetry_Int_Tables_number 1
_cell_length_a 5.0933
_cell_length_b 8.9277
_cell_length_c 8.8269
_cell_angle_alpha 120.38
_cell_angle_beta 106.77
_cell_angle_gamma 90.00
loop_
_symmetry_equiv_pos_as_xyz
'x,y,z'
loop_
_atom_site_label
_atom_site_fract_x
_atom_site_fract_y
_atom_site_fract_z
Pr1 0.0000 0.6698 0.0000
Pr2 0.3416 0.1219 0.6831
Pr3 0.6584 0.4388 0.3169
Pr4 0.3416 0.5612 0.6831
Pr5 0.8665 0.8665 0.7330
Pr6 0.0000 0.3302 0.0000
Pr7 0.1335 0.1335 0.2670
Pr8 0.6584 0.8781 0.3169
Ga1 0.2003 0.7003 0.4006
Ga2 0.7997 0.2997 0.5994
Cu1 0.5000 0.0000 0.0000
```

Computed properties:
symmetry = No. 71
crystal system = orthorhombic
D(E_F) = 13.8 states/eV/cell



Stability summary - winner: a; margin: 84 meV per atom.



a.
DFT (GGA-PBE) results for a relaxed structure of PrGa2Cu9.

Structure (CIF):
```
data_PrGa2Cu9
_symmetry_space_group_name_H-M 'P 1'
_symmetry_Int_Tables_number 1
_cell_length_a 6.6477
_cell_length_b 7.9498
_cell_length_c 7.9498
_cell_angle_alpha 79.93
_cell_angle_beta 65.28
_cell_angle_gamma 65.28
loop_
_symmetry_equiv_pos_as_xyz
'x,y,z'
loop_
_atom_site_label
_atom_site_fract_x
_atom_site_fract_y
_atom_site_fract_z
Cu1 0.5985 0.3315 0.0860
Cu2 0.7500 0.5000 0.5000
Cu3 0.7340 0.8315 0.5860
Cu4 0.5985 0.0860 0.3315
Cu5 0.0700 0.9140 0.3315
Cu6 0.0700 0.3315 0.9140
Cu7 0.0160 0.6685 0.9140
Cu8 0.3155 0.0860 0.6685
Cu9 0.0160 0.9140 0.6685
Cu10 0.6800 0.5860 0.1685
Cu11 0.6800 0.1685 0.5860
Cu12 0.1515 0.4140 0.1685
Cu13 0.1515 0.1685 0.4140
Cu14 0.4345 0.8315 0.4140
Cu15 0.4345 0.4140 0.8315
Cu16 0.7340 0.5860 0.8315
Cu17 0.3155 0.6685 0.0860
Cu18 0.0000 0.0000 0.0000
Ga1 0.8750 0.7500 0.2500
Ga2 0.8750 0.2500 0.2500
Ga3 0.8750 0.2500 0.7500
Ga4 0.3750 0.7500 0.7500
Pr1 0.2500 0.5000 0.5000
Pr2 0.5000 0.0000 0.0000
```

Computed properties:
symmetry = No. 141
crystal system = tetragonal
D(E_F) = 10.6 states/eV/cell



b.
DFT (GGA-PBE) results for a relaxed structure of PrGa2Cu9.

Structure (CIF):
```
data_PrGa2Cu9
_symmetry_space_group_name_H-M 'P 1'
_symmetry_Int_Tables_number 1
_cell_length_a 5.0177
_cell_length_b 5.0177
_cell_length_c 8.5247
_cell_angle_alpha 72.88
_cell_angle_beta 72.88
_cell_angle_gamma 60.00
loop_
_symmetry_equiv_pos_as_xyz
'x,y,z'
loop_
_atom_site_label
_atom_site_fract_x
_atom_site_fract_y
_atom_site_fract_z
Cu1 0.3340 0.3340 0.9979
Cu2 0.4100 0.4100 0.2606
Cu3 0.9193 0.4100 0.2606
Cu4 0.5900 0.0807 0.7394
Cu5 0.5000 0.5000 0.5000
Cu6 0.6660 0.6660 0.0021
Cu7 0.5900 0.5900 0.7394
Cu8 0.0807 0.5900 0.7394
Cu9 0.4100 0.9193 0.2606
Pr1 0.0000 0.0000 0.0000
Ga1 0.1428 0.1428 0.5716
Ga2 0.8572 0.8572 0.4284
```

Computed properties:
symmetry = No. 166
crystal system = trigonal
D(E_F) = 4.1 states/eV/cell



Stability summary - winner: a; margin: 59 meV per atom.



a.
DFT (GGA-PBE) results for a relaxed structure of Pr2Ga2Cu3.

Structure (CIF):
```
data_Pr2Ga2Cu3
_symmetry_space_group_name_H-M 'P 1'
_symmetry_Int_Tables_number 1
_cell_length_a 7.2913
_cell_length_b 7.2913
_cell_length_c 7.2913
_cell_angle_alpha 109.47
_cell_angle_beta 109.47
_cell_angle_gamma 109.47
loop_
_symmetry_equiv_pos_as_xyz
'x,y,z'
loop_
_atom_site_label
_atom_site_fract_x
_atom_site_fract_y
_atom_site_fract_z
Pr1 0.0346 0.5000 0.0000
Pr2 0.0000 0.0000 0.5346
Pr3 0.4654 0.9654 0.9654
Pr4 0.5000 0.5346 0.5000
Ga1 0.0000 0.0000 0.9414
Ga2 0.0586 0.5586 0.5586
Ga3 0.4414 0.5000 0.0000
Ga4 0.5000 0.9414 0.5000
Cu1 0.2500 0.0416 0.2916
Cu2 0.7500 0.4584 0.2084
Cu3 0.9584 0.2084 0.2500
Cu4 0.5416 0.2916 0.7500
Cu5 0.7916 0.7500 0.0416
Cu6 0.7084 0.2500 0.4584
```

Computed properties:
symmetry = No. 199
crystal system = cubic
D(E_F) = 8.2 states/eV/cell



b.
DFT (GGA-PBE) results for a relaxed structure of Pr2Ga2Cu3.

Structure (CIF):
```
data_Pr2Ga2Cu3
_symmetry_space_group_name_H-M 'P 1'
_symmetry_Int_Tables_number 1
_cell_length_a 4.2579
_cell_length_b 5.7152
_cell_length_c 6.6598
_cell_angle_alpha 111.98
_cell_angle_beta 90.00
_cell_angle_gamma 111.87
loop_
_symmetry_equiv_pos_as_xyz
'x,y,z'
loop_
_atom_site_label
_atom_site_fract_x
_atom_site_fract_y
_atom_site_fract_z
Cu1 0.5975 0.1950 0.4165
Cu2 0.4025 0.8050 0.5835
Cu3 0.5000 0.0000 0.0000
Ga1 0.1458 0.2916 0.2438
Ga2 0.8542 0.7084 0.7562
Pr1 0.1449 0.2898 0.7616
Pr2 0.8551 0.7102 0.2384
```

Computed properties:
symmetry = No. 12
crystal system = monoclinic
D(E_F) = 4.1 states/eV/cell



Stability summary - winner: b; margin: 154 meV per atom.



a.
DFT (GGA-PBE) results for a relaxed structure of Pr4GaCu.

Structure (CIF):
```
data_Pr4GaCu
_symmetry_space_group_name_H-M 'P 1'
_symmetry_Int_Tables_number 1
_cell_length_a 6.5656
_cell_length_b 6.9539
_cell_length_c 8.2917
_cell_angle_alpha 90.00
_cell_angle_beta 108.46
_cell_angle_gamma 90.00
loop_
_symmetry_equiv_pos_as_xyz
'x,y,z'
loop_
_atom_site_label
_atom_site_fract_x
_atom_site_fract_y
_atom_site_fract_z
Pr1 0.9913 0.0012 0.2599
Pr2 0.5769 0.2500 0.4091
Pr3 0.4153 0.7500 0.1168
Pr4 0.0087 0.9988 0.7401
Pr5 0.4231 0.7500 0.5909
Pr6 0.0087 0.5012 0.7401
Pr7 0.5847 0.2500 0.8832
Pr8 0.9913 0.4988 0.2599
Cu1 0.2212 0.2500 0.5532
Cu2 0.7788 0.7500 0.4468
Ga1 0.7716 0.7500 0.9417
Ga2 0.2284 0.2500 0.0583
```

Computed properties:
symmetry = No. 11
crystal system = monoclinic
D(E_F) = 14.8 states/eV/cell



b.
DFT (GGA-PBE) results for a relaxed structure of Pr4GaCu.

Structure (CIF):
```
data_Pr4GaCu
_symmetry_space_group_name_H-M 'P 1'
_symmetry_Int_Tables_number 1
_cell_length_a 6.1404
_cell_length_b 8.1310
_cell_length_c 8.4281
_cell_angle_alpha 113.55
_cell_angle_beta 104.75
_cell_angle_gamma 103.13
loop_
_symmetry_equiv_pos_as_xyz
'x,y,z'
loop_
_atom_site_label
_atom_site_fract_x
_atom_site_fract_y
_atom_site_fract_z
Cu1 0.7451 0.9951 0.9903
Cu2 0.2549 0.0049 0.0097
Ga1 0.3704 0.6204 0.2408
Ga2 0.6296 0.3796 0.7592
Pr1 0.6554 0.0667 0.3824
Pr2 0.7730 0.6844 0.6176
Pr3 0.3198 0.6370 0.8562
Pr4 0.6802 0.3630 0.1438
Pr5 0.0364 0.2192 0.8562
Pr6 0.3446 0.9333 0.6176
Pr7 0.9636 0.7808 0.1438
Pr8 0.2270 0.3156 0.3824
```

Computed properties:
symmetry = No. 15
crystal system = monoclinic
D(E_F) = 12.8 states/eV/cell



Stability summary - winner: b; margin: 6 meV per atom.